# 1
The following is a GGA-PBE calculation of an optimized crystal structure of LaSbTe2Pb, from Alexandria.

```
LaSbTe2Pb
1.0
6.072 0.000 0.000
0.000 6.072 0.000
0.000 0.000 6.053
La Sb Te Pb
1 1 2 1
Cartesian
0.000 0.000 0.000 La
0.000 0.000 3.026 Sb
0.000 3.036 0.000 Te
3.036 0.000 0.000 Te
3.036 3.036 3.026 Pb
```

As for the energy above the most stable polymorph in this dataset: 0.0 meV/atom. For the total energy, the calculation gives -3.826 eV per atom. The density of states at the Fermi level is 5.70 states/eV per cell. As for the formation energy from raw total energies: -0.018 eV/atom. The space group is P4/mmm.

=====

# 2
The following is a GGA-PBE calculation of an optimized crystal structure of DySc3Ag2, from Alexandria.

```
DySc3Ag2
1.0
4.808 0.000 0.000
0.000 8.648 0.000
0.000 0.000 6.693
Dy Sc Ag
2 6 4
Cartesian
0.000 0.534 0.000 Dy
0.000 8.113 3.346 Dy
0.000 2.862 4.254 Sc
0.000 5.786 0.908 Sc
2.404 1.586 2.192 Sc
2.404 3.819 6.435 Sc
2.404 4.829 3.089 Sc
2.404 7.062 5.538 Sc
0.000 3.086 1.497 Ag
0.000 5.561 4.844 Ag
2.404 1.310 4.945 Ag
2.404 7.337 1.599 Ag
```

For the total energy, the calculation gives -5.064 eV per atom. The calculated formation energy comes out at -0.18 eV/atom. The density of states at the Fermi level is 14.03 states/eV per cell. The space group is Pmc2_1.

=====

# 3
The following is a GGA-PBE calculation of an optimized crystal structure of PdSe2I6, from Alexandria.

```
PdSe2I6
1.0
8.349 -6.190 0.000
8.349 6.190 0.000
-1.120 0.000 9.371
Pd Se I
2 4 12
Cartesian
7.509 5.270 7.028 Pd
8.069 -5.270 2.343 Pd
4.759 1.346 7.023 Se
5.319 -1.346 2.338 Se
10.259 1.346 7.033 Se
10.819 -1.346 2.347 Se
0.967 0.945 6.827 I
5.232 3.948 7.235 I
1.527 -0.945 2.141 I
9.786 3.948 6.822 I
5.051 0.073 9.360 I
5.611 -0.073 4.674 I
9.967 0.073 4.697 I
10.527 -0.073 0.011 I
5.792 -3.948 2.549 I
14.051 0.945 7.230 I
10.346 -3.948 2.136 I
14.611 -0.945 2.544 I
```

For the total energy, the calculation gives -2.361 eV per atom. The density of states at the Fermi level is 0.86 states/eV per cell. As for the formation energy from raw total energies: 0.023 eV/atom. The space group is C2/c.

=====

# 4
The following is a GGA-PBE calculation of an optimized crystal structure of Dy3Er2TmSe6, from Alexandria.

```
Dy3Er2TmSe6
1.0
8.838 -2.019 0.000
8.838 2.019 0.000
-1.945 0.000 7.905
Dy Er Tm Se
3 2 1 6
Cartesian
0.000 0.000 0.000 Dy
4.585 0.000 5.273 Dy
11.146 0.000 2.631 Dy
5.562 0.000 1.313 Er
10.169 0.000 6.592 Er
-0.972 0.000 3.952 Tm
1.780 0.000 4.623 Se
2.800 0.000 0.640 Se
8.332 0.000 2.005 Se
7.399 0.000 5.899 Se
12.931 0.000 7.265 Se
13.951 0.000 3.281 Se
```

For the total energy, the calculation gives -5.741 eV per atom. The density of states at the Fermi level is 5.48 states/eV per cell. As for the formation energy from raw total energies: -1.715 eV/atom. The space group is C2/m.

=====

# 5
The following is a GGA-PBE calculation of an optimized crystal structure of LaCdGa, from Alexandria.

```
LaCdGa
1.0
-2.172 3.136 5.710
2.172 -3.136 5.710
2.172 3.136 -5.710
La Cd Ga
2 2 2
Cartesian
0.000 0.000 2.153 La
0.000 0.000 9.266 La
2.172 1.599 0.000 Cd
0.000 1.537 5.710 Cd
2.172 0.000 4.382 Ga
0.000 3.136 1.328 Ga
```

For the total energy, the calculation gives -3.421 eV per atom. The calculated formation energy comes out at -0.46 eV/atom. The density of states at the Fermi level is 2.97 states/eV per cell. The space group is Immm.

=====

# 6
The following is a GGA-PBE calculation of an optimized crystal structure of Ac6Tl3Pb2, from Alexandria.

```
Ac6Tl3Pb2
1.0
-3.257 3.257 11.292
3.257 -3.257 11.292
3.257 3.257 -11.292
Ac Tl Pb
6 3 2
Cartesian
3.257 0.000 1.988 Ac
0.000 0.000 4.780 Ac
3.257 0.000 9.304 Ac
0.000 3.257 1.988 Ac
0.000 0.000 17.805 Ac
0.000 3.257 9.304 Ac
0.000 0.000 8.001 Tl
0.000 0.000 11.292 Tl
0.000 0.000 14.583 Tl
0.000 0.000 1.507 Pb
0.000 0.000 21.077 Pb
```

For the total energy, the calculation gives -3.597 eV per atom. The calculated formation energy comes out at -0.04 eV/atom. The density of states at the Fermi level is 9.83 states/eV per cell. The space group is I4/mmm.

=====

# 7
The following is a GGA-PBE calculation of an optimized crystal structure of RbUIn2O8, from Alexandria.

```
RbUIn2O8
1.0
5.062 0.000 0.000
0.342 5.068 0.000
0.058 0.142 8.193
Rb U In O
1 1 2 8
Cartesian
0.000 0.000 0.000 Rb
0.029 0.071 4.096 U
2.696 2.584 5.597 In
2.766 2.625 2.596 In
1.312 4.148 5.667 O
1.288 4.112 2.547 O
1.612 1.545 4.069 O
2.436 2.202 7.831 O
3.026 3.007 0.361 O
3.850 3.664 4.124 O
4.174 1.097 5.646 O
4.150 1.061 2.526 O
```

For the total energy, the calculation gives -6.548 eV per atom. The density of states at the Fermi level is 1.96 states/eV per cell. As for the formation energy from raw total energies: -1.765 eV/atom. The space group is P-1.

=====

# 8
The following is a GGA-PBE calculation of an optimized crystal structure of Pr5Al2Bi, from Alexandria.

```
Pr5Al2Bi
1.0
-4.139 4.139 7.253
4.139 -4.139 7.253
4.139 4.139 -7.253
Pr Al Bi
10 4 2
Cartesian
0.000 0.000 0.000 Pr
5.527 1.388 -2.123 Pr
1.388 2.751 -2.123 Pr
5.527 1.388 2.123 Pr
1.388 2.751 2.123 Pr
0.000 0.000 7.253 Pr
2.751 1.388 5.130 Pr
-1.388 2.751 5.130 Pr
2.751 1.388 9.375 Pr
-1.388 2.751 9.375 Pr
3.146 0.993 0.000 Al
3.146 -0.993 7.253 Al
0.993 5.132 0.000 Al
0.993 3.146 7.253 Al
0.000 0.000 3.626 Bi
0.000 0.000 10.879 Bi
```

For the total energy, the calculation gives -4.837 eV per atom. The calculated formation energy comes out at -0.43 eV/atom. The density of states at the Fermi level is 19.88 states/eV per cell. The space group is I4/mcm.

=====

# 9
The following is a GGA-PBE calculation of an optimized crystal structure of Cs2CaYOs, from Alexandria.

```
Cs2CaYOs
1.0
6.641 0.000 0.000
0.000 6.641 0.000
0.000 0.000 5.017
Cs Ca Y Os
2 1 1 1
Cartesian
0.000 3.321 0.000 Cs
3.321 0.000 0.000 Cs
0.000 0.000 0.000 Ca
3.321 3.321 2.509 Y
0.000 0.000 2.509 Os
```

For the total energy, the calculation gives -2.713 eV per atom. The calculated formation energy comes out at 1.57 eV/atom. The density of states at the Fermi level is 8.93 states/eV per cell. The space group is P4/mmm.

=====

# 10
The following is a GGA-PBE calculation of an optimized crystal structure of Zn2Cu2Pd, from Alexandria.

```
Zn2Cu2Pd
1.0
6.164 -2.068 0.000
6.164 2.068 0.000
-0.550 0.000 2.670
Zn Cu Pd
2 2 1
Cartesian
1.218 0.000 0.223 Zn
10.559 0.000 2.446 Zn
3.088 0.000 2.058 Cu
8.689 0.000 0.611 Cu
5.889 0.000 1.335 Pd
```

As for the energy above the most stable polymorph in this dataset: 0.0 meV/atom. For the total energy, the calculation gives -3.379 eV per atom. The calculated formation energy comes out at -0.19 eV/atom. The density of states at the Fermi level is 2.05 states/eV per cell. The space group is C2/m.

=====

# 11
The following is a GGA-PBE calculation of an optimized crystal structure of TbEuMgIr, from Alexandria.

```
TbEuMgIr
1.0
0.000 3.607 3.607
3.607 0.000 3.607
3.607 3.607 0.000
Tb Eu Mg Ir
1 1 1 1
Cartesian
0.000 0.000 0.000 Tb
3.607 3.607 3.607 Eu
1.803 1.803 1.803 Mg
5.410 5.410 5.410 Ir
```

For the total energy, the calculation gives -6.609 eV per atom. The calculated formation energy comes out at -0.27 eV/atom. The density of states at the Fermi level is 4.39 states/eV per cell. The space group is F-43m.

=====

# 12
The following is a GGA-PBE calculation of an optimized crystal structure of Na3TiBe, from Alexandria.

```
Na3TiBe
1.0
5.912 0.000 0.000
0.000 5.912 0.000
0.000 0.000 5.912
Na Ti Be
3 1 1
Cartesian
0.000 0.000 2.956 Na
0.000 2.956 0.000 Na
2.956 0.000 0.000 Na
0.000 0.000 0.000 Ti
2.956 2.956 2.956 Be
```

As for the energy above the most stable polymorph in this dataset: 321.8 meV/atom. For the total energy, the calculation gives -1.559 eV per atom. The calculated formation energy comes out at 1.56 eV/atom. The density of states at the Fermi level is 10.49 states/eV per cell. The space group is Pm-3m.